Here is an optimized crystal structure of K8NaAu6 from Alexandria via LeMat-Bulk. Energies are from PBE-GGA.

Results
- Magnetic moment: 0.00 μB per formula unit
- E_form: -239.8 meV/atom

Cell and atoms, written as CIF:
```
data_K8NaAu6
_chemical_formula_sum 'K8 Na1 Au6'
_cell_length_a 8.779
_cell_length_b 8.779
_cell_length_c 8.779
_cell_angle_alpha 66.18
_cell_angle_beta 66.17
_cell_angle_gamma 66.18
_space_group_name_H-M_alt 'P 1'
_space_group_IT_number 1
loop_
_space_group_symop_operation_xyz
'x,y,z'
loop_
_atom_site_label
_atom_site_fract_x
_atom_site_fract_y
_atom_site_fract_z
Au1 0.636 0.258 0.948
Au2 0.742 0.052 0.364
K1 0.109 0.772 0.452
K2 0.665 0.665 0.665
Au3 0.948 0.636 0.258
K3 0.772 0.452 0.109
Au4 0.364 0.742 0.052
Na1 0.000 0.000 0.000
Au5 0.052 0.364 0.742
Au6 0.258 0.948 0.636
K4 0.335 0.335 0.335
K5 0.548 0.891 0.228
K6 0.228 0.548 0.891
K7 0.891 0.228 0.548
K8 0.452 0.109 0.772
```



Here is an optimized crystal structure of SrPtW2 from Alexandria via LeMat-Bulk. Energies are from PBE-GGA.

Results
- Magnetic moment: 0.00 μB per formula unit
- E_form: 948.6 meV/atom

Cell and atoms, written as CIF:
```
data_SrPtW2
_chemical_formula_sum 'Sr2 Pt2 W4'
_cell_length_a 4.844
_cell_length_b 4.844
_cell_length_c 9.870
_cell_angle_alpha 75.80
_cell_angle_beta 75.80
_cell_angle_gamma 90.00
_space_group_name_H-M_alt 'P 1'
_space_group_IT_number 1
loop_
_space_group_symop_operation_xyz
'x,y,z'
loop_
_atom_site_label
_atom_site_fract_x
_atom_site_fract_y
_atom_site_fract_z
W1 0.875 0.125 0.250
W2 0.375 0.125 0.750
W3 0.875 0.625 0.250
Sr1 0.250 0.750 0.500
Pt1 0.750 0.250 0.500
Pt2 0.000 0.000 0.000
W4 0.875 0.125 0.750
Sr2 0.500 0.500 0.000
```



Here is an optimized crystal structure of ScTc2Ir from Alexandria via LeMat-Bulk. Energies are from PBE-GGA.

Results
- Magnetic moment: 1.27 μB per formula unit
- E_form: -157.0 meV/atom

Cell and atoms, written as CIF:
```
data_ScTc2Ir
_chemical_formula_sum 'Sc1 Tc2 Ir1'
_cell_length_a 4.460
_cell_length_b 4.460
_cell_length_c 4.460
_cell_angle_alpha 119.96
_cell_angle_beta 119.96
_cell_angle_gamma 90.06
_space_group_name_H-M_alt 'P 1'
_space_group_IT_number 1
loop_
_space_group_symop_operation_xyz
'x,y,z'
loop_
_atom_site_label
_atom_site_fract_x
_atom_site_fract_y
_atom_site_fract_z
Tc1 0.000 0.000 0.000
Tc2 0.250 0.750 0.500
Sc1 0.750 0.250 0.500
Ir1 0.500 0.500 0.000
```



Here is an optimized crystal structure of MnTe2Au from Alexandria via LeMat-Bulk. Energies are from PBE-GGA.

Results
- Magnetic moment: 3.98 μB per formula unit
- Formation energy from raw total energies: 0.048 eV/atom

Cell and atoms, written as CIF:
```
data_MnTe2Au
_chemical_formula_sum 'Mn1 Te2 Au1'
_cell_length_a 3.983
_cell_length_b 3.983
_cell_length_c 7.451
_cell_angle_alpha 74.50
_cell_angle_beta 74.50
_cell_angle_gamma 60.00
_space_group_name_H-M_alt 'P 1'
_space_group_IT_number 1
loop_
_space_group_symop_operation_xyz
'x,y,z'
loop_
_atom_site_label
_atom_site_fract_x
_atom_site_fract_y
_atom_site_fract_z
Mn1 0.502 0.502 0.495
Au1 0.666 0.666 0.003
Te1 0.246 0.246 0.261
Te2 0.086 0.086 0.742
```



Here is an optimized crystal structure of KBa2Cr from Alexandria via LeMat-Bulk. Energies are from PBE-GGA.

Results
- Magnetic moment: 4.94 μB per formula unit
- E_form: 551.4 meV/atom

Cell and atoms, written as CIF:
```
data_KBa2Cr
_chemical_formula_sum 'K1 Ba2 Cr1'
_cell_length_a 4.340
_cell_length_b 4.340
_cell_length_c 11.028
_cell_angle_alpha 90.00
_cell_angle_beta 90.00
_cell_angle_gamma 90.00
_space_group_name_H-M_alt 'P 1'
_space_group_IT_number 1
loop_
_space_group_symop_operation_xyz
'x,y,z'
loop_
_atom_site_label
_atom_site_fract_x
_atom_site_fract_y
_atom_site_fract_z
K1 0.500 0.500 0.690
Cr1 0.000 0.000 0.483
Ba1 0.000 0.000 0.012
Ba2 0.500 0.500 0.316
```



Here is an optimized crystal structure of Nd5Co2Te from Alexandria via LeMat-Bulk. Energies are from PBE-GGA.

Results
- Magnetic moment: 0.00 μB per formula unit
- Formation energy from raw total energies: -0.382 eV/atom

Cell and atoms, written as CIF:
```
data_Nd5Co2Te
_chemical_formula_sum 'Nd10 Co4 Te2'
_cell_length_a 7.906
_cell_length_b 7.906
_cell_length_c 8.821
_cell_angle_alpha 116.63
_cell_angle_beta 116.63
_cell_angle_gamma 90.00
_space_group_name_H-M_alt 'P 1'
_space_group_IT_number 1
loop_
_space_group_symop_operation_xyz
'x,y,z'
loop_
_atom_site_label
_atom_site_fract_x
_atom_site_fract_y
_atom_site_fract_z
Nd1 0.978 0.478 0.267
Co1 0.140 0.360 0.000
Nd2 0.522 0.711 0.733
Nd3 0.289 0.789 0.267
Co2 0.860 0.640 0.000
Nd4 0.789 0.978 0.267
Nd5 0.211 0.022 0.733
Nd6 0.022 0.522 0.733
Nd7 0.478 0.289 0.267
Co3 0.360 0.860 0.000
Nd8 0.500 0.500 0.000
Co4 0.640 0.140 0.000
Te1 0.250 0.250 0.500
Nd9 0.711 0.211 0.733
Nd10 0.000 0.000 0.000
Te2 0.750 0.750 0.500
```



Question: magnetic moment of number 3 (ScTc2Ir)?
Answer: 1.27 μB per formula unit